The following is a PBE calculation of a relaxed structure of BaLiCoAg2, from the Alexandria database.

```
BaLiCoAg2
1.0
-2.272 -5.380 1.256
-0.936 -1.063 -6.249
5.455 -2.399 -0.409
Co Ba Ag Li
1 1 2 1
Cartesian
1.124 -4.421 -2.701 Co
0.000 0.000 0.000 Ba
2.728 -1.199 -0.204 Ag
-1.136 -2.690 0.628 Ag
-0.468 -0.532 -3.124 Li
```

Calculated values
Uncorrected energy, eV per atom: -1.770
Total moment, μB/cell: 2.71
Density, Mg/m³: 3.04
Symmetry: P4/mmm, No. 123
ΔE_f, eV/atom: 1.56